[1]
Computed, not measured: crystalline SrTmReN4 at its relaxed geometry at the PBE-GGA level of DFT.

Cell and atoms, written as POSCAR:
```
SrTmReN4
1.0
5.8279 0.0000 0.0000
0.0000 5.9354 0.0000
-2.0063 0.0000 6.7347
Sr Tm Re N
2 2 2 8
Direct
0.2266 0.2500 0.4326
0.7734 0.7500 0.5674
0.3075 0.2500 0.9619
0.6925 0.7500 0.0381
0.2370 0.7500 0.1726
0.7630 0.2500 0.8274
0.0358 0.7500 0.3300
0.0420 0.7500 0.9241
0.4480 0.5090 0.2095
0.4480 0.9910 0.2095
0.5520 0.0090 0.7905
0.5520 0.4910 0.7905
0.9580 0.2500 0.0759
0.9642 0.2500 0.6700
```

Summary:
**Mass density**: 7.11 g/cm³
**E_form (uncorrected)**: -0.89 eV/atom
**SG**: No. 11



[2]
Computed, not measured: crystalline YTh8 at its relaxed geometry at the PBE-GGA level of DFT.

Cell and atoms, written as POSCAR:
```
YTh8
1.0
-5.3555 5.3555 2.5209
5.3555 -5.3555 2.5209
5.3555 5.3555 -2.5209
Y Th
1 8
Direct
0.0000 0.0000 0.0000
0.0000 0.3331 0.3331
0.0000 0.6669 0.6669
0.3331 0.0000 0.3331
0.3325 0.3325 0.6650
0.3325 0.6675 0.0000
0.6669 0.0000 0.6669
0.6675 0.3325 0.0000
0.6675 0.6675 0.3350
```

Summary:
**ΔH_f (0 K)**: 2.6 kJ per mole of atoms
**Mass density**: 11.17 g/cm³
**SG**: No. 139



[3]
Computed, not measured: crystalline Cs5Rb3Hg12 at its relaxed geometry at the PBE-GGA level of DFT.

Cell and atoms, written as POSCAR:
```
Cs5Rb3Hg12
1.0
-10.6202 10.6202 10.6202
10.6202 -10.6202 10.6202
10.6202 10.6202 -10.6202
Cs Rb Hg
20 12 48
Direct
0.0000 0.0000 0.0000
0.0000 0.0000 0.5000
0.0000 0.5000 0.0000
0.0000 0.5000 0.5000
0.1250 0.7500 0.8750
0.1250 0.8750 0.2500
0.2500 0.1250 0.8750
0.2500 0.6250 0.3750
0.3750 0.2500 0.6250
0.3750 0.6250 0.7500
0.5000 0.0000 0.0000
0.5000 0.0000 0.5000
0.5000 0.5000 0.0000
0.5000 0.5000 0.5000
0.6250 0.3750 0.2500
0.6250 0.7500 0.3750
0.7500 0.3750 0.6250
0.7500 0.8750 0.1250
0.8750 0.1250 0.7500
0.8750 0.2500 0.1250
0.1250 0.2500 0.3750
0.1250 0.3750 0.7500
0.2500 0.3750 0.1250
0.2500 0.8750 0.6250
0.3750 0.1250 0.2500
0.3750 0.7500 0.1250
0.6250 0.2500 0.8750
0.6250 0.8750 0.7500
0.7500 0.1250 0.3750
0.7500 0.6250 0.8750
0.8750 0.6250 0.2500
0.8750 0.7500 0.6250
0.0664 0.7342 0.6342
0.0664 0.8322 0.4322
0.0678 0.6678 0.4336
0.0678 0.9000 0.6342
0.1000 0.2342 0.1678
0.1000 0.3658 0.9322
0.1342 0.2342 0.5664
0.1342 0.4000 0.5678
0.1678 0.1000 0.2342
0.1678 0.5678 0.9336
0.2342 0.1678 0.1000
0.2342 0.5664 0.1342
0.2658 0.3658 0.9336
0.2658 0.4000 0.3322
0.3322 0.2658 0.4000
0.3322 0.5664 0.9322
0.3658 0.9322 0.1000
0.3658 0.9336 0.2658
0.4000 0.3322 0.2658
0.4000 0.5678 0.1342
0.4322 0.0664 0.8322
0.4322 0.8658 0.6000
0.4336 0.0678 0.6678
0.4336 0.8658 0.7658
0.5664 0.1342 0.2342
0.5664 0.9322 0.3322
0.5678 0.1342 0.4000
0.5678 0.9336 0.1678
0.6000 0.4322 0.8658
0.6000 0.6678 0.7342
0.6342 0.0664 0.7342
0.6342 0.0678 0.9000
0.6678 0.4336 0.0678
0.6678 0.7342 0.6000
0.7342 0.6000 0.6678
0.7342 0.6342 0.0664
0.7658 0.4336 0.8658
0.7658 0.8322 0.9000
0.8322 0.4322 0.0664
0.8322 0.9000 0.7658
0.8658 0.6000 0.4322
0.8658 0.7658 0.4336
0.9000 0.6342 0.0678
0.9000 0.7658 0.8322
0.9322 0.1000 0.3658
0.9322 0.3322 0.5664
0.9336 0.1678 0.5678
0.9336 0.2658 0.3658
```

Summary:
**ΔH_f (0 K)**: -15.9 kJ per mole of atoms
**Mass density**: 4.61 g/cm³
**SG**: No. 230



[4]
Computed, not measured: crystalline Sm5TlIn at its relaxed geometry at the PBE-GGA level of DFT.

Cell and atoms, written as POSCAR:
```
Sm5TlIn
1.0
4.3620 -4.3993 0.0000
4.3620 4.3993 0.0000
-2.5528 0.0000 11.4763
Sm Tl In
10 2 2
Direct
0.0147 0.5677 0.1572
0.1082 0.8918 0.7500
0.2372 0.5186 0.4655
0.4323 0.9853 0.3428
0.4814 0.7628 0.0345
0.5186 0.2372 0.9655
0.5677 0.0147 0.6572
0.7628 0.4814 0.5345
0.8918 0.1082 0.2500
0.9853 0.4323 0.8428
0.0000 0.0000 0.0000
0.0000 0.0000 0.5000
0.4686 0.5314 0.7500
0.5314 0.4686 0.2500
```

Summary:
**ΔH_f (0 K)**: -12.1 kJ per mole of atoms
**Mass density**: 8.08 g/cm³
**SG**: No. 15



[5]
Computed, not measured: crystalline La2PmScAs4 at its relaxed geometry at the PBE-GGA level of DFT.

Cell and atoms, written as POSCAR:
```
La2PmScAs4
1.0
7.3068 0.0000 0.0000
0.0000 4.2336 0.0000
-2.4433 0.0000 6.8952
La Pm Sc As
2 1 1 4
Direct
0.0000 0.0000 0.0000
0.0000 0.5000 0.5000
0.5000 0.0000 0.5000
0.5000 0.5000 0.0000
0.2634 0.5000 0.2450
0.2701 0.0000 0.7661
0.7299 0.0000 0.2339
0.7366 0.5000 0.7550
```

Summary:
**ΔH_f (0 K)**: -141.6 kJ per mole of atoms
**Mass density**: 5.97 g/cm³
**SG**: No. 10



[6]
Computed, not measured: crystalline CaPu3As4 at its relaxed geometry at the PBE-GGA level of DFT.

Cell and atoms, written as POSCAR:
```
CaPu3As4
1.0
7.1986 0.0000 0.0000
0.0000 8.3383 0.0000
-2.4074 0.0000 6.8024
Ca Pu As
2 6 8
Direct
0.0000 0.1250 0.2500
0.0000 0.8750 0.7500
0.0000 0.3727 0.7500
0.0000 0.6273 0.2500
0.5000 0.1237 0.7500
0.5000 0.3738 0.2500
0.5000 0.6262 0.7500
0.5000 0.8763 0.2500
0.2531 0.3814 0.5063
0.2531 0.6186 0.0063
0.2616 0.1295 0.9976
0.2616 0.8705 0.4976
0.7384 0.1295 0.5024
0.7384 0.8705 0.0024
0.7469 0.3814 0.9937
0.7469 0.6186 0.4937
```

Summary:
**ΔH_f (0 K)**: -97.0 kJ per mole of atoms
**Mass density**: 8.72 g/cm³
**SG**: No. 13



[7]
Computed, not measured: crystalline SmDy4Al3 at its relaxed geometry at the PBE-GGA level of DFT.

Cell and atoms, written as POSCAR:
```
SmDy4Al3
1.0
-1.6889 4.2712 7.4411
1.6889 -4.2712 7.4411
1.6889 4.2712 -7.4411
Sm Dy Al
1 4 3
Direct
0.0000 0.0000 0.0000
0.1633 0.8592 0.3041
0.4448 0.1407 0.3041
0.5552 0.8592 0.6959
0.8367 0.1407 0.6959
0.1841 0.6841 0.5000
0.5000 0.5000 0.0000
0.8159 0.3159 0.5000
```

Summary:
**ΔH_f (0 K)**: -12.9 kJ per mole of atoms
**Mass density**: 6.82 g/cm³
**Offset from the most stable computed form**: 145.8 meV per atom
**SG**: No. 71



[8]
Computed, not measured: crystalline Sr6TeP2Cl3 at its relaxed geometry at the PBE-GGA level of DFT.

Cell and atoms, written as POSCAR:
```
Sr6TeP2Cl3
1.0
9.6659 -2.2426 0.0000
9.6659 2.2426 0.0000
-1.7398 0.0000 8.7272
Sr Te P Cl
6 1 2 3
Direct
0.0112 0.0112 0.2632
0.3254 0.3254 0.4323
0.3292 0.3292 0.8853
0.6708 0.6708 0.1147
0.6746 0.6746 0.5677
0.9888 0.9888 0.7368
0.5000 0.5000 0.0000
0.1669 0.1669 0.3364
0.8331 0.8331 0.6636
0.1661 0.1661 0.8364
0.5000 0.5000 0.5000
0.8339 0.8339 0.1636
```

Summary:
**Mass density**: 3.61 g/cm³
**E_form (uncorrected)**: -1.67 eV/atom
**SG**: No. 12



[9]
Computed, not measured: crystalline Tc2AgHg at its relaxed geometry at the PBE-GGA level of DFT.

Cell and atoms, written as POSCAR:
```
Tc2AgHg
1.0
1.4175 0.8184 9.6029
-1.4175 0.8184 9.6029
0.0000 -1.6368 9.6029
Tc Ag Hg
2 1 1
Direct
0.2488 0.2488 0.2488
0.7512 0.7512 0.7512
0.5000 0.5000 0.5000
0.0000 0.0000 0.0000
```

Summary:
**ΔH_f (0 K)**: 67.0 kJ per mole of atoms
**Mass density**: 12.53 g/cm³
**SG**: No. 166